1.
Here is an optimized crystal structure of YAgPbO3 from OQMD. Energies are from GGA-PBE.

Values from the calculation:
uncorrected energy	-0.47405	Ry/atom

a = 6.911 Å, b = 6.911 Å, c = 8.641 Å
α = 90.00°, β = 90.00°, γ = 150.23°
Element x y z (fractional)
Ag1 0.360 0.640 0.750
Ag2 0.640 0.360 0.250
O1 0.608 0.392 0.488
O2 0.392 0.608 0.512
O3 0.608 0.392 0.012
O4 0.059 0.941 0.750
O5 0.941 0.059 0.250
O6 0.392 0.608 0.988
Pb1 0.672 0.328 0.750
Pb2 0.328 0.672 0.250
Y1 0.000 0.000 0.500
Y2 0.000 0.000 0.000

---

2.
Here is an optimized crystal structure of AgPdO2 from OQMD. Energies are from GGA-PBE.

Values from the calculation:
uncorrected energy	-0.35034	Ry/atom

a = 3.017 Å, b = 3.299 Å, c = 5.527 Å
α = 90.00°, β = 90.00°, γ = 90.00°
Element x y z (fractional)
O1 0.000 0.000 0.256
O2 0.000 0.000 0.744
Ag1 0.000 0.500 0.000
Pd1 0.500 0.000 0.500

---

3.
Here is an optimized crystal structure of AgPdO3 from OQMD. Energies are from GGA-PBE.

Values from the calculation:
uncorrected energy	-0.33599	Ry/atom

a = 5.328 Å, b = 5.328 Å, c = 5.328 Å
α = 63.02°, β = 63.02°, γ = 63.02°
Element x y z (fractional)
Ag1 0.750 0.750 0.750
Ag2 0.250 0.250 0.250
O1 0.864 0.250 0.636
O2 0.250 0.636 0.864
O3 0.136 0.750 0.364
O4 0.364 0.136 0.750
O5 0.750 0.364 0.136
O6 0.636 0.864 0.250
Pd1 0.500 0.500 0.500
Pd2 0.000 0.000 0.000

---

4.
Here is an optimized crystal structure of AgPdO3 from OQMD. Energies are from GGA-PBE.

Values from the calculation:
uncorrected energy	-0.32149	Ry/atom

a = 3.831 Å, b = 3.831 Å, c = 4.125 Å
α = 90.00°, β = 90.00°, γ = 90.00°
Element x y z (fractional)
Ag1 0.000 0.000 0.015
O1 0.500 0.000 0.637
O2 0.000 0.500 0.637
O3 0.500 0.500 0.074
Pd1 0.500 0.500 0.538

---

5.
Here is an optimized crystal structure of AgPdO3 from OQMD. Energies are from GGA-PBE.

Values from the calculation:
uncorrected energy	-0.34717	Ry/atom

a = 4.840 Å, b = 10.263 Å, c = 6.227 Å
α = 90.00°, β = 129.56°, γ = 90.00°
Element x y z (fractional)
O1 0.498 0.379 0.029
O2 0.502 0.879 0.471
O3 0.502 0.621 0.971
O4 0.498 0.121 0.529
O5 0.495 0.621 0.468
O6 0.999 0.690 0.477
O7 0.505 0.379 0.532
O8 0.495 0.879 0.968
O9 0.001 0.190 0.023
O10 0.999 0.810 0.977
O11 0.505 0.121 0.032
O12 0.001 0.310 0.523
Pd1 0.498 0.750 0.721
Pd2 0.502 0.250 0.779
Pd3 0.502 0.250 0.279
Pd4 0.498 0.750 0.221
Ag1 0.000 0.503 0.746
Ag2 0.000 0.997 0.246
Ag3 0.000 0.003 0.754
Ag4 0.000 0.497 0.254

---

6.
Here is an optimized crystal structure of AgPdO2 from OQMD. Energies are from GGA-PBE.

Values from the calculation:
uncorrected energy	-0.35179	Ry/atom

a = 6.217 Å, b = 3.056 Å, c = 6.418 Å
α = 90.00°, β = 117.68°, γ = 90.00°
Element x y z (fractional)
O1 0.904 0.500 0.765
O2 0.096 0.500 0.235
O3 0.759 0.000 0.360
O4 0.241 0.000 0.640
Pd1 0.000 0.000 0.000
Pd2 0.000 0.500 0.500
Ag1 0.500 0.000 0.500
Ag2 0.500 0.000 0.000